Entry 1:
First-principles (SCAN) data for Mg4Au3 at its PBEsol-relaxed geometry, as listed in Alexandria via LeMat-Bulk.

Values from the calculation:
Its space-group type is I4/mmm. Its formation enthalpy at 0 K is -59 kJ per mole of atoms.

a b c (Å): 10.6408 10.6408 10.6408
angles (deg): 161.02 161.02 26.96
Sites, in units of the cell vectors:
Mg  0.0689  0.0689  0.0000
Mg  0.3451  0.3451  0.0000
Mg  0.6549  0.6549  0.0000
Mg  0.9311  0.9311  0.0000
Au  0.2076  0.2076  0.0000
Au  0.5000  0.5000  0.0000
Au  0.7924  0.7924  0.0000

Entry 2:
First-principles (SCAN) data for RbP2NCl at its PBEsol-relaxed geometry, as listed in Alexandria via LeMat-Bulk.

Values from the calculation:
Its space-group type is P4/mmm. The energy above the lowest structure with this stoichiometry comes out at 0.000 eV per atom. The value obtained for the uncorrected formation energy is 0.34 eV per atom.

a b c (Å): 3.9935 3.9935 7.3785
angles (deg): 90.00 90.00 90.00
Sites, in units of the cell vectors:
Rb  0.0000  0.0000  0.0000
P  0.0000  0.5000  0.5000
P  0.5000  0.0000  0.5000
N  0.5000  0.5000  0.5000
Cl  0.5000  0.5000  0.0000

Entry 3:
First-principles (SCAN) data for KHfGa2 at its PBEsol-relaxed geometry, as listed in Alexandria via LeMat-Bulk.

Values from the calculation:
Its space-group type is Fm-3m. Its formation enthalpy at 0 K is 31 kJ per mole of atoms.

a b c (Å): 4.9555 4.9555 4.9555
angles (deg): 60.00 60.00 60.00
Sites, in units of the cell vectors:
K  0.0000  0.0000  0.0000
Hf  0.5000  0.5000  0.5000
Ga  0.2500  0.2500  0.2500
Ga  0.7500  0.7500  0.7500

Entry 4:
First-principles (SCAN) data for Sr2CuHg at its PBEsol-relaxed geometry, as listed in Alexandria via LeMat-Bulk.

Values from the calculation:
Its space-group type is R-3m. The energy above the lowest structure with this stoichiometry comes out at 0.137 eV per atom. Its formation enthalpy at 0 K is -20 kJ per mole of atoms.

a b c (Å): 8.1007 8.1007 8.1007
angles (deg): 31.49 31.49 31.49
Sites, in units of the cell vectors:
Sr  0.2414  0.2414  0.2414
Sr  0.7586  0.7586  0.7586
Cu  0.5000  0.5000  0.5000
Hg  0.0000  0.0000  0.0000

Entry 5:
First-principles (SCAN) data for Lu2Mo4O15 at its PBEsol-relaxed geometry, as listed in Alexandria via LeMat-Bulk.

Values from the calculation:
Its space-group type is P2_1/c. The value obtained for the uncorrected formation energy is -2.63 eV per atom.

a b c (Å): 6.6592 9.4354 10.4191
angles (deg): 90.00 104.90 90.00
Sites, in units of the cell vectors:
Lu  0.2104  0.0222  0.2749
Lu  0.2104  0.4778  0.7749
Lu  0.7896  0.5222  0.2251
Lu  0.7896  0.9778  0.7251
Mo  0.0792  0.7440  0.0101
Mo  0.0792  0.7560  0.5101
Mo  0.3825  0.0964  0.8419
Mo  0.3825  0.4036  0.3419
Mo  0.6175  0.5964  0.6581
Mo  0.6175  0.9036  0.1581
Mo  0.9208  0.2440  0.4899
Mo  0.9208  0.2560  0.9899
O  0.0285  0.1249  0.3976
O  0.0285  0.3751  0.8976
O  0.1197  0.0542  0.8147
O  0.1197  0.4458  0.3147
O  0.1214  0.1621  0.1000
O  0.1214  0.3379  0.6000
O  0.2182  0.6516  0.9148
O  0.2182  0.8484  0.4148
O  0.2482  0.6352  0.6193
O  0.2482  0.8648  0.1193
O  0.3848  0.2193  0.3489
O  0.3848  0.2807  0.8489
O  0.4514  0.0283  0.7031
O  0.4514  0.4717  0.2031
O  0.5000  0.0000  0.0000
O  0.5000  0.5000  0.5000
O  0.5486  0.5283  0.7969
O  0.5486  0.9717  0.2969
O  0.6152  0.7193  0.1511
O  0.6152  0.7807  0.6511
O  0.7518  0.1352  0.8807
O  0.7518  0.3648  0.3807
O  0.7818  0.1516  0.5852
O  0.7818  0.3484  0.0852
O  0.8786  0.6621  0.4000
O  0.8786  0.8379  0.9000
O  0.8803  0.5542  0.6853
O  0.8803  0.9458  0.1853
O  0.9715  0.6249  0.1024
O  0.9715  0.8751  0.6024

Entry 6:
First-principles (SCAN) data for ZrSc3Cu at its PBEsol-relaxed geometry, as listed in Alexandria via LeMat-Bulk.

Values from the calculation:
Its space-group type is Pm-3m. Its formation enthalpy at 0 K is 24 kJ per mole of atoms.

a b c (Å): 4.8691 4.8691 4.8691
angles (deg): 90.00 90.00 90.00
Sites, in units of the cell vectors:
Zr  0.0000  0.0000  0.0000
Sc  0.0000  0.5000  0.5000
Sc  0.5000  0.0000  0.5000
Sc  0.5000  0.5000  0.0000
Cu  0.5000  0.5000  0.5000

Entry 7:
First-principles (SCAN) data for NaCrSiBr2 at its PBEsol-relaxed geometry, as listed in Alexandria via LeMat-Bulk.

Values from the calculation:
Its space-group type is P4/mmm. The value obtained for the uncorrected formation energy is 0.54 eV per atom.

a b c (Å): 5.0757 5.0757 5.3914
angles (deg): 90.00 90.00 90.00
Sites, in units of the cell vectors:
Na  0.0000  0.0000  0.0000
Cr  0.0000  0.0000  0.5000
Si  0.5000  0.5000  0.5000
Br  0.0000  0.5000  0.0000
Br  0.5000  0.0000  0.0000

Entry 8:
First-principles (SCAN) data for ZnSnPt3 at its PBEsol-relaxed geometry, as listed in Alexandria via LeMat-Bulk.

Values from the calculation:
Its space-group type is Pm-3m. Its formation enthalpy at 0 K is 104 kJ per mole of atoms.

a b c (Å): 4.8561 4.8561 4.8561
angles (deg): 90.00 90.00 90.00
Sites, in units of the cell vectors:
Zn  0.0000  0.0000  0.0000
Sn  0.5000  0.5000  0.5000
Pt  0.0000  0.5000  0.5000
Pt  0.5000  0.0000  0.5000
Pt  0.5000  0.5000  0.0000